Entry from Alexandria: a geometry-optimized PmPrZnBi structure (PBE).

Calculated values
Energy relative to the elements   -0.463 eV/atom
Spin magnetization   0.0 Bohr magnetons per cell

a b c (Å): 5.4400 5.4400 5.4400
angles (deg): 60.00 60.00 60.00
Closest atoms and distances in Å follow each position.
Element x y z (fractional)
Pm 0.0000 0.0000 0.0000  4 Bi 3.33, 4 Zn 3.33
Zn 0.2500 0.2500 0.2500  4 Pr 3.33, 4 Pm 3.33
Pr 0.5000 0.5000 0.5000  4 Zn 3.33, 4 Bi 3.33
Bi 0.7500 0.7500 0.7500  4 Pr 3.33, 4 Pm 3.33